Crystalline TiRuF2 at its relaxed geometry, computed with PBE-GGA.

```
TiRuF2
1.0
0.0000 2.9426 2.9426
2.9426 0.0000 2.9426
2.9426 2.9426 0.0000
Ti Ru F
1 1 2
direct
0.0000 0.0000 0.0000
0.5000 0.5000 0.5000
0.2500 0.2500 0.2500
0.7500 0.7500 0.7500
```

Its energy above the lowest structure with this stoichiometry is 81.4 kJ per mole of atoms. Its uncorrected formation energy is -549.7 meV/atom. Its total moment is 0.36 μB per cell. The space group is Fm-3m, No. 225.

Crystalline TiRuF2 at its relaxed geometry, computed with PBE-GGA.

```
TiRuF2
1.0
1.3534 0.7814 8.4380
-1.3534 0.7814 8.4380
0.0000 -1.5627 8.4380
Ti Ru F
1 1 2
direct
0.0000 0.0000 0.0000
0.5000 0.5000 0.5000
0.3888 0.3888 0.3888
0.6112 0.6112 0.6112
```

Its energy above the lowest structure with this stoichiometry is 0.0 kJ per mole of atoms. Its uncorrected formation energy is -1393.7 meV/atom. Its total moment is 1.98 μB per cell. The space group is R-3m, No. 166.

Crystalline TiRu2F at its relaxed geometry, computed with PBE-GGA.

```
TiRu2F
1.0
-3.4324 3.4324 2.3909
3.4324 -3.4324 2.3909
3.4324 3.4324 -2.3909
Ti Ru F
2 4 2
direct
0.0000 0.0000 0.0000
0.7500 0.2500 0.5000
0.1734 0.6250 0.0484
0.3750 0.4234 0.5484
0.5766 0.1250 0.9516
0.8750 0.8266 0.4516
0.2500 0.7500 0.5000
0.5000 0.5000 0.0000
```

Its energy above the lowest structure with this stoichiometry is 0.2 kJ per mole of atoms. Its uncorrected formation energy is 12.2 meV/atom. Its total moment is 0.00 μB per cell. The space group is I-42d, No. 122.

Crystalline TiRuF3 at its relaxed geometry, computed with PBE-GGA.

```
TiRuF3
1.0
4.2071 0.0000 0.0000
0.0000 4.2071 0.0000
0.0000 0.0000 4.2071
Ti Ru F
1 1 3
direct
0.0000 0.0000 0.0000
0.5000 0.5000 0.5000
0.0000 0.5000 0.5000
0.5000 0.0000 0.5000
0.5000 0.5000 0.0000
```

Its energy above the lowest structure with this stoichiometry is 81.3 kJ per mole of atoms. Its uncorrected formation energy is -527.0 meV/atom. Its total moment is 0.03 μB per cell. The space group is Pm-3m, No. 221.

Crystalline Ti2RuF at its relaxed geometry, computed with PBE-GGA.

```
Ti2RuF
1.0
-3.0081 3.0081 3.2508
3.0081 -3.0081 3.2508
3.0081 3.0081 -3.2508
Ti Ru F
4 2 2
direct
0.0722 0.6250 0.9472
0.3750 0.3222 0.4472
0.6778 0.1250 0.0528
0.8750 0.9278 0.5528
0.2500 0.7500 0.5000
0.5000 0.5000 0.0000
0.0000 0.0000 0.0000
0.7500 0.2500 0.5000
```

Its energy above the lowest structure with this stoichiometry is 0.0 kJ per mole of atoms. Its uncorrected formation energy is -840.6 meV/atom. Its total moment is 0.00 μB per cell. The space group is I-42d, No. 122.

Crystalline Ti2RuF at its relaxed geometry, computed with PBE-GGA.

```
Ti2RuF
1.0
0.0000 3.0557 3.0557
3.0557 0.0000 3.0557
3.0557 3.0557 0.0000
Ti Ru F
2 1 1
direct
0.2500 0.2500 0.2500
0.7500 0.7500 0.7500
0.0000 0.0000 0.0000
0.5000 0.5000 0.5000
```

Its energy above the lowest structure with this stoichiometry is 26.0 kJ per mole of atoms. Its uncorrected formation energy is -571.3 meV/atom. Its total moment is 0.00 μB per cell. The space group is Fm-3m, No. 225.